No. 1
## LiVI2N (PBE)

Data for a geometry-optimized LiVI2N structure.

Computed properties:
Calculated volume = 119.0 Å³/cell
Space-group type = P4/mmm
Relative energy among the computed polymorphs = 0 meV per atom

Cell: 5.660 5.660 3.715 Å, 90.00 90.00 90.00°
Positions (direct):
I 0.000 0.500 0.000
I 0.500 0.000 0.000
V 0.000 0.000 0.000
Li 0.500 0.500 0.500
N 0.000 0.000 0.500

***

No. 2
## Nb3CdH (PBE)

Data for a geometry-optimized Nb3CdH structure.

Computed properties:
Calculated volume = 130.0 Å³/cell
Space-group type = Pm-3m
Relative energy among the computed polymorphs = 2658 meV per atom

Cell: 5.065 5.065 5.065 Å, 90.00 90.00 90.00°
Positions (direct):
Cd 0.000 0.000 0.000
Nb 0.000 0.000 0.500
Nb 0.000 0.500 0.000
Nb 0.500 0.000 0.000
H 0.500 0.500 0.500

***

No. 3
## ThGa12Co6 (PBE)

Data for a geometry-optimized ThGa12Co6 structure.

Computed properties:
Calculated volume = 290.1 Å³/cell
Space-group type = R-3m
ΔE_f = -236.0 meV/atom

Cell: 6.910 6.910 6.910 Å, 104.73 104.73 104.73°
Positions (direct):
Ga 0.117 0.883 0.500
Ga 0.417 0.417 0.150
Ga 0.500 0.117 0.883
Ga 0.883 0.500 0.117
Ga 0.500 0.883 0.117
Ga 0.150 0.417 0.417
Ga 0.883 0.117 0.500
Ga 0.583 0.583 0.850
Ga 0.583 0.850 0.583
Ga 0.417 0.150 0.417
Ga 0.850 0.583 0.583
Ga 0.117 0.500 0.883
Co 0.272 0.272 0.696
Co 0.272 0.696 0.272
Co 0.728 0.304 0.728
Co 0.304 0.728 0.728
Co 0.696 0.272 0.272
Co 0.728 0.728 0.304
Th 0.000 0.000 0.000

***

No. 4
## TaTe2Pt (PBE)

Data for a geometry-optimized TaTe2Pt structure.

Computed properties:
Calculated volume = 96.6 Å³/cell
Space-group type = P4mm
E_tot = -24.7 eV for the cell shown

Cell: 3.646 3.645 7.268 Å, 90.00 90.00 90.00°
Positions (direct):
Ta 0.500 0.500 0.718
Te 0.000 0.000 0.906
Te 0.500 0.500 0.350
Pt 0.000 0.000 0.527

***

No. 5
## Ce4PSe5 (PBE)

Data for a geometry-optimized Ce4PSe5 structure.

Computed properties:
Calculated volume = 306.8 Å³/cell
Space-group type = C2/m
Relative energy among the computed polymorphs = 16 meV per atom

Cell: 4.241 8.283 9.410 Å, 107.25 103.02 90.00°
Positions (direct):
Se 0.500 0.500 0.000
Se 0.835 0.132 0.670
Se 0.165 0.868 0.330
Se 0.835 0.655 0.670
Se 0.165 0.345 0.330
Ce 0.673 0.121 0.346
Ce 0.002 0.251 0.004
Ce 0.327 0.879 0.654
Ce 0.998 0.749 0.996
P 0.500 0.000 0.000

***

No. 6
## VTeP3 (PBE)

Data for a geometry-optimized VTeP3 structure.

Computed properties:
Calculated volume = 122.0 Å³/cell
Space-group type = Pm-3m
Relative energy among the computed polymorphs = 1106 meV per atom

Cell: 4.960 4.960 4.960 Å, 90.00 90.00 90.00°
Positions (direct):
V 0.500 0.500 0.500
P 0.000 0.000 0.500
P 0.000 0.500 0.000
P 0.500 0.000 0.000
Te 0.000 0.000 0.000

***

No. 7
## Cu3Pd7Pt (PBE)

Data for a geometry-optimized Cu3Pd7Pt structure.

Computed properties:
Calculated volume = 170.2 Å³/cell
Space-group type = P3m1
ΔE_f = 35.2 meV/atom

Cell: 6.524 5.489 5.489 Å, 120.00 90.00 90.00°
Positions (direct):
Pd 0.103 0.166 0.331
Pd 0.103 0.669 0.834
Pd 0.464 0.834 0.166
Pd 0.103 0.166 0.834
Pd 0.464 0.331 0.166
Pd 0.464 0.834 0.669
Pd 0.101 0.667 0.333
Cu 0.783 0.499 0.501
Cu 0.783 0.001 0.501
Cu 0.783 0.499 0.999
Pt 0.464 0.333 0.667

***

No. 8
## Dy2Y3Tm6 (PBE)

Data for a geometry-optimized Dy2Y3Tm6 structure.

Computed properties:
Calculated volume = 360.8 Å³/cell
Space-group type = I4/mmm
Relative energy among the computed polymorphs = 189 meV per atom
ΔE_f = 277.3 meV/atom

Cell: 4.689 4.689 16.742 Å, 98.05 98.05 90.00°
Positions (direct):
Tm 0.879 0.379 0.758
Tm 0.621 0.121 0.242
Tm 0.121 0.621 0.242
Tm 0.307 0.307 0.615
Tm 0.379 0.879 0.758
Tm 0.693 0.693 0.385
Dy 0.454 0.454 0.907
Dy 0.546 0.546 0.093
Y 0.797 0.797 0.594
Y 0.203 0.203 0.406
Y 0.000 0.000 0.000

***

No. 9
## Mg6Tl5Ag (PBE)

Data for a geometry-optimized Mg6Tl5Ag structure.

Computed properties:
Calculated volume = 285.4 Å³/cell
Space-group type = C2/m
ΔE_f = -48.0 meV/atom

Cell: 4.983 8.587 8.587 Å, 113.86 106.74 106.74°
Positions (direct):
Mg 0.281 0.784 0.784
Mg 0.769 0.607 0.928
Mg 0.719 0.216 0.216
Mg 0.769 0.928 0.607
Mg 0.231 0.393 0.072
Mg 0.231 0.072 0.393
Tl 0.500 0.176 0.824
Tl 0.500 0.500 0.500
Tl 0.500 0.824 0.176
Tl 0.000 0.342 0.658
Tl 0.000 0.658 0.342
Ag 0.000 0.000 0.000

***

No. 10
## LiAcHg4 (PBE)

Data for a geometry-optimized LiAcHg4 structure.

Computed properties:
Calculated volume = 174.4 Å³/cell
Space-group type = P4/mmm
Relative energy among the computed polymorphs = 7 meV per atom
ΔE_f = -211.2 meV/atom

Cell: 4.744 4.744 7.747 Å, 90.00 90.00 90.00°
Positions (direct):
Hg 0.500 0.000 0.305
Hg 0.500 0.000 0.695
Hg 0.000 0.500 0.695
Hg 0.000 0.500 0.305
Li 0.500 0.500 0.500
Ac 0.000 0.000 0.000

***

Copy entry 3 word for word.
## ThGa12Co6 (PBE)

Data for a geometry-optimized ThGa12Co6 structure.

Computed properties:
Calculated volume = 290.1 Å³/cell
Space-group type = R-3m
ΔE_f = -236.0 meV/atom

Cell: 6.910 6.910 6.910 Å, 104.73 104.73 104.73°
Positions (direct):
Ga 0.117 0.883 0.500
Ga 0.417 0.417 0.150
Ga 0.500 0.117 0.883
Ga 0.883 0.500 0.117
Ga 0.500 0.883 0.117
Ga 0.150 0.417 0.417
Ga 0.883 0.117 0.500
Ga 0.583 0.583 0.850
Ga 0.583 0.850 0.583
Ga 0.417 0.150 0.417
Ga 0.850 0.583 0.583
Ga 0.117 0.500 0.883
Co 0.272 0.272 0.696
Co 0.272 0.696 0.272
Co 0.728 0.304 0.728
Co 0.304 0.728 0.728
Co 0.696 0.272 0.272
Co 0.728 0.728 0.304
Th 0.000 0.000 0.000